1.
# Mg2BW, relaxed, DFT GGA-PBE
data_Mg2BW
_chemical_formula_sum 'Mg8 B4 W4'
_symmetry_space_group_name_H-M 'I -4 2 d'
_symmetry_Int_Tables_number 122
_symmetry_space_group_name_Hall 'I -4 2bw'
_cell_length_a 7.405
_cell_length_b 7.405
_cell_length_c 4.588
_cell_angle_alpha 90.00
_cell_angle_beta 90.00
_cell_angle_gamma 90.00
loop_
_atom_site_label
_atom_site_type_symbol
_atom_site_fract_x
_atom_site_fract_y
_atom_site_fract_z
_atom_site_occupancy
Mg1 Mg 0.165 0.750 0.125 1
B1 B 0.000 0.000 0.000 1
W1 W 0.000 0.000 0.500 1
# Energy relative to the elements = 0.793 eV per atom
# Total magnetic moment = 0.00 μB per atom



2.
# Mg6BW, relaxed, DFT GGA-PBE
data_Mg6BW
_chemical_formula_sum 'Mg12 B2 W2'
_symmetry_space_group_name_H-M 'A m m 2'
_symmetry_Int_Tables_number 38
_cell_length_a 4.498
_cell_length_b 5.921
_cell_length_c 11.400
_cell_angle_alpha 90.00
_cell_angle_beta 90.00
_cell_angle_gamma 90.00
loop_
_symmetry_equiv_pos_as_xyz
'x,y,z'
'-x,-y,z'
'-x,y,z'
'x,-y,z'
'x,y+1/2,z+1/2'
'-x,-y+1/2,z+1/2'
'-x,y+1/2,z+1/2'
'x,-y+1/2,z+1/2'
loop_
_atom_site_label
_atom_site_type_symbol
_atom_site_fract_x
_atom_site_fract_y
_atom_site_fract_z
_atom_site_occupancy
Mg1 Mg 0.000 0.000 0.000 1
Mg2 Mg 0.000 0.236 0.732 1
Mg3 Mg 0.500 0.000 0.151 1
Mg4 Mg 0.500 0.243 0.398 1
B1 B 0.000 0.000 0.562 1
W1 W 0.500 0.000 0.613 1
# ΔE to the lowest computed polymorph = 0.000 eV per atom
# Energy relative to the elements = 0.454 eV per atom
# Total magnetic moment = 0.00 μB per atom



3.
# Mg3BW, relaxed, DFT GGA-PBE
data_Mg3BW
_chemical_formula_sum 'Mg3 B1 W1'
_symmetry_space_group_name_H-M 'P m -3 m'
_symmetry_Int_Tables_number 221
_symmetry_space_group_name_Hall '-P 4 2 3'
_cell_length_a 4.428
_cell_length_b 4.428
_cell_length_c 4.428
_cell_angle_alpha 90.00
_cell_angle_beta 90.00
_cell_angle_gamma 90.00
loop_
_atom_site_label
_atom_site_type_symbol
_atom_site_fract_x
_atom_site_fract_y
_atom_site_fract_z
_atom_site_occupancy
Mg1 Mg 0.000 0.000 0.500 1
B1 B 0.000 0.000 0.000 1
W1 W 0.500 0.500 0.500 1
# ΔE to the lowest computed polymorph = 0.000 eV per atom
# Energy relative to the elements = 1.077 eV per atom
# Total magnetic moment = 0.00 μB per atom



4.
# MgB2W2, relaxed, DFT GGA-PBE
data_MgB2W2
_chemical_formula_sum 'Mg2 B4 W4'
_symmetry_space_group_name_H-M 'I 4/m m m'
_symmetry_Int_Tables_number 139
_symmetry_space_group_name_Hall '-I 4 2'
_cell_length_a 3.669
_cell_length_b 3.669
_cell_length_c 9.715
_cell_angle_alpha 90.00
_cell_angle_beta 90.00
_cell_angle_gamma 90.00
loop_
_atom_site_label
_atom_site_type_symbol
_atom_site_fract_x
_atom_site_fract_y
_atom_site_fract_z
_atom_site_occupancy
Mg1 Mg 0.000 0.000 0.000 1
B1 B 0.000 0.000 0.413 1
W1 W 0.000 0.500 0.250 1
# ΔE to the lowest computed polymorph = 0.224 eV per atom
# Energy relative to the elements = 0.154 eV per atom
# Total magnetic moment = 0.00 μB per atom



5.
# MgBW2, relaxed, DFT GGA-PBE
data_MgBW2
_chemical_formula_sum 'Mg4 B4 W8'
_symmetry_space_group_name_H-M 'I -4 2 d'
_symmetry_Int_Tables_number 122
_symmetry_space_group_name_Hall 'I -4 2bw'
_cell_length_a 3.696
_cell_length_b 3.696
_cell_length_c 18.249
_cell_angle_alpha 90.00
_cell_angle_beta 90.00
_cell_angle_gamma 90.00
loop_
_atom_site_label
_atom_site_type_symbol
_atom_site_fract_x
_atom_site_fract_y
_atom_site_fract_z
_atom_site_occupancy
Mg1 Mg 0.000 0.000 0.000 1
B1 B 0.000 0.000 0.500 1
W1 W 0.232 0.250 0.625 1
# ΔE to the lowest computed polymorph = 0.000 eV per atom
# Energy relative to the elements = 1.107 eV per atom
# Total magnetic moment = 0.00 μB per atom



6.
# MgB4W, relaxed, DFT GGA-PBE
data_MgB4W
_chemical_formula_sum 'Mg2 B8 W2'
_symmetry_space_group_name_H-M 'I m m m'
_symmetry_Int_Tables_number 71
_symmetry_space_group_name_Hall '-I 2 2'
_cell_length_a 3.024
_cell_length_b 5.283
_cell_length_c 6.685
_cell_angle_alpha 90.00
_cell_angle_beta 90.00
_cell_angle_gamma 90.00
loop_
_atom_site_label
_atom_site_type_symbol
_atom_site_fract_x
_atom_site_fract_y
_atom_site_fract_z
_atom_site_occupancy
Mg1 Mg 0.000 0.000 0.000 1
B1 B 0.000 0.338 0.254 1
W1 W 0.000 0.000 0.500 1
# Energy relative to the elements = -0.274 eV per atom
# Total magnetic moment = 0.00 μB per atom



7.
# MgB2W2, relaxed, DFT GGA-PBE
data_MgB2W2
_chemical_formula_sum 'Mg2 B4 W4'
_symmetry_space_group_name_H-M 'P 4/m b m'
_symmetry_Int_Tables_number 127
_symmetry_space_group_name_Hall '-P 4 2ab'
_cell_length_a 6.031
_cell_length_b 6.031
_cell_length_c 3.166
_cell_angle_alpha 90.00
_cell_angle_beta 90.00
_cell_angle_gamma 90.00
loop_
_atom_site_label
_atom_site_type_symbol
_atom_site_fract_x
_atom_site_fract_y
_atom_site_fract_z
_atom_site_occupancy
Mg1 Mg 0.000 0.000 0.000 1
B1 B 0.113 0.387 0.000 1
W1 W 0.167 0.667 0.500 1
# ΔE to the lowest computed polymorph = 0.000 eV per atom
# Energy relative to the elements = -0.070 eV per atom
# Total magnetic moment = 0.00 μB per atom



8.
# YMgBW2, relaxed, DFT GGA-PBE
data_YMgBW2
_chemical_formula_sum 'Y1 Mg1 B1 W2'
_symmetry_space_group_name_H-M 'P 4/m m m'
_symmetry_Int_Tables_number 123
_symmetry_space_group_name_Hall '-P 4 2'
_cell_length_a 4.608
_cell_length_b 4.608
_cell_length_c 5.089
_cell_angle_alpha 90.00
_cell_angle_beta 90.00
_cell_angle_gamma 90.00
loop_
_atom_site_label
_atom_site_type_symbol
_atom_site_fract_x
_atom_site_fract_y
_atom_site_fract_z
_atom_site_occupancy
Y1 Y 0.000 0.000 0.000 1
Mg1 Mg 0.000 0.000 0.500 1
B1 B 0.500 0.500 0.000 1
W1 W 0.000 0.500 0.500 1
# Energy relative to the elements = 2.720 eV per atom
# Total magnetic moment = 0.00 μB per atom



9.
# MgZn2BW, relaxed, DFT GGA-PBE
data_MgZn2BW
_chemical_formula_sum 'Mg1 Zn2 B1 W1'
_symmetry_space_group_name_H-M 'P 4/m m m'
_symmetry_Int_Tables_number 123
_symmetry_space_group_name_Hall '-P 4 2'
_cell_length_a 4.135
_cell_length_b 4.135
_cell_length_c 4.314
_cell_angle_alpha 90.00
_cell_angle_beta 90.00
_cell_angle_gamma 90.00
loop_
_atom_site_label
_atom_site_type_symbol
_atom_site_fract_x
_atom_site_fract_y
_atom_site_fract_z
_atom_site_occupancy
Mg1 Mg 0.000 0.000 0.000 1
Zn1 Zn 0.000 0.500 0.500 1
B1 B 0.500 0.500 0.500 1
W1 W 0.500 0.500 0.000 1
# Energy relative to the elements = 0.371 eV per atom
# Total magnetic moment = 0.00 μB per atom



10.
# MgZrBW2, relaxed, DFT GGA-PBE
data_MgZrBW2
_chemical_formula_sum 'Mg1 Zr1 B1 W2'
_symmetry_space_group_name_H-M 'P 4/m m m'
_symmetry_Int_Tables_number 123
_symmetry_space_group_name_Hall '-P 4 2'
_cell_length_a 4.335
_cell_length_b 4.335
_cell_length_c 4.353
_cell_angle_alpha 90.00
_cell_angle_beta 90.00
_cell_angle_gamma 90.00
loop_
_atom_site_label
_atom_site_type_symbol
_atom_site_fract_x
_atom_site_fract_y
_atom_site_fract_z
_atom_site_occupancy
Mg1 Mg 0.000 0.000 0.000 1
Zr1 Zr 0.500 0.500 0.000 1
B1 B 0.000 0.000 0.500 1
W1 W 0.000 0.500 0.500 1
# Energy relative to the elements = 0.250 eV per atom
# Total magnetic moment = 0.00 μB per atom



11.
# YMg14B, relaxed, DFT GGA-PBE
data_YMg14B
_chemical_formula_sum 'Y2 Mg28 B2'
_symmetry_space_group_name_H-M 'A m m 2'
_symmetry_Int_Tables_number 38
_cell_length_a 10.269
_cell_length_b 6.015
_cell_length_c 11.638
_cell_angle_alpha 90.00
_cell_angle_beta 90.00
_cell_angle_gamma 90.00
loop_
_symmetry_equiv_pos_as_xyz
'x,y,z'
'-x,-y,z'
'-x,y,z'
'x,-y,z'
'x,y+1/2,z+1/2'
'-x,-y+1/2,z+1/2'
'-x,y+1/2,z+1/2'
'x,-y+1/2,z+1/2'
loop_
_atom_site_label
_atom_site_type_symbol
_atom_site_fract_x
_atom_site_fract_y
_atom_site_fract_z
_atom_site_occupancy
Y1 Y 0.000 0.000 0.000 1
Mg1 Mg 0.000 0.233 0.262 1
Mg2 Mg 0.163 0.000 0.599 1
Mg3 Mg 0.252 0.249 0.886 1
Mg4 Mg 0.258 0.000 0.143 1
Mg5 Mg 0.500 0.000 0.491 1
Mg6 Mg 0.500 0.000 0.979 1
Mg7 Mg 0.500 0.246 0.731 1
B1 B 0.000 0.000 0.437 1
# ΔE to the lowest computed polymorph = 0.000 eV per atom
# Energy relative to the elements = 0.117 eV per atom
# Total magnetic moment = 0.00 μB per atom



12.
# YMgB14, relaxed, DFT GGA-PBE
data_YMgB14
_chemical_formula_sum 'Y4 Mg4 B56'
_symmetry_space_group_name_H-M 'I m m a'
_symmetry_Int_Tables_number 74
_symmetry_space_group_name_Hall '-I 2b 2'
_cell_length_a 5.937
_cell_length_b 10.653
_cell_length_c 8.257
_cell_angle_alpha 90.00
_cell_angle_beta 90.00
_cell_angle_gamma 90.00
loop_
_atom_site_label
_atom_site_type_symbol
_atom_site_fract_x
_atom_site_fract_y
_atom_site_fract_z
_atom_site_occupancy
Y1 Y 0.000 0.250 0.141 1
Mg1 Mg 0.250 0.250 0.750 1
B1 B 0.000 0.084 0.670 1
B2 B 0.000 0.135 0.875 1
B3 B 0.000 0.167 0.470 1
B4 B 0.160 0.061 0.339 1
B5 B 0.248 0.077 0.546 1
# Energy relative to the elements = -0.218 eV per atom
# Total magnetic moment = 0.00 μB per atom



13.
# YMg14B, relaxed, DFT GGA-PBE
data_YMg14B
_chemical_formula_sum 'Y1 Mg14 B1'
_symmetry_space_group_name_H-M 'P -6 m 2'
_symmetry_Int_Tables_number 187
_symmetry_space_group_name_Hall 'P -6 2'
_cell_length_a 6.4388
_cell_length_b 6.4388
_cell_length_c 9.9061
_cell_angle_alpha 90.00
_cell_angle_beta 90.00
_cell_angle_gamma 120.00
loop_
_atom_site_label
_atom_site_type_symbol
_atom_site_fract_x
_atom_site_fract_y
_atom_site_fract_z
_atom_site_occupancy
Y1 Y 0.0000 0.0000 0.0000 1
Mg1 Mg 0.0159 0.5079 0.0000 1
Mg2 Mg 0.1579 0.3157 0.2745 1
Mg3 Mg 0.5074 0.0148 0.5000 1
Mg4 Mg 0.6667 0.3333 0.2393 1
B1 B 0.0000 0.0000 0.5000 1
# ΔE to the lowest computed polymorph = 0.056 eV per atom
# Energy relative to the elements = 0.173 eV per atom
# Total magnetic moment = 0.00 μB per atom



14.
# YMg3B, relaxed, DFT GGA-PBE
data_YMg3B
_chemical_formula_sum 'Y1 Mg3 B1'
_symmetry_space_group_name_H-M 'P m -3 m'
_symmetry_Int_Tables_number 221
_symmetry_space_group_name_Hall '-P 4 2 3'
_cell_length_a 6.014
_cell_length_b 6.014
_cell_length_c 6.014
_cell_angle_alpha 90.00
_cell_angle_beta 90.00
_cell_angle_gamma 90.00
loop_
_atom_site_label
_atom_site_type_symbol
_atom_site_fract_x
_atom_site_fract_y
_atom_site_fract_z
_atom_site_occupancy
Y1 Y 0.000 0.000 0.000 1
Mg1 Mg 0.000 0.000 0.500 1
B1 B 0.500 0.500 0.500 1
# ΔE to the lowest computed polymorph = 1.721 eV per atom
# Energy relative to the elements = 1.985 eV per atom
# Total magnetic moment = 0.42 μB per atom



15.
# YMg3B, relaxed, DFT GGA-PBE
data_YMg3B
_chemical_formula_sum 'Y1 Mg3 B1'
_symmetry_space_group_name_H-M 'P m -3 m'
_symmetry_Int_Tables_number 221
_symmetry_space_group_name_Hall '-P 4 2 3'
_cell_length_a 4.713
_cell_length_b 4.713
_cell_length_c 4.713
_cell_angle_alpha 90.00
_cell_angle_beta 90.00
_cell_angle_gamma 90.00
loop_
_atom_site_label
_atom_site_type_symbol
_atom_site_fract_x
_atom_site_fract_y
_atom_site_fract_z
_atom_site_occupancy
Y1 Y 0.000 0.000 0.000 1
Mg1 Mg 0.000 0.500 0.500 1
B1 B 0.500 0.500 0.500 1
# ΔE to the lowest computed polymorph = 0.000 eV per atom
# Energy relative to the elements = 0.263 eV per atom
# Total magnetic moment = 0.00 μB per atom



16.
# YMgZnB2, relaxed, DFT GGA-PBE
data_YMgZnB2
_chemical_formula_sum 'Y1 Mg1 Zn1 B2'
_symmetry_space_group_name_H-M 'P 4/m m m'
_symmetry_Int_Tables_number 123
_symmetry_space_group_name_Hall '-P 4 2'
_cell_length_a 4.232
_cell_length_b 4.232
_cell_length_c 4.508
_cell_angle_alpha 90.00
_cell_angle_beta 90.00
_cell_angle_gamma 90.00
loop_
_atom_site_label
_atom_site_type_symbol
_atom_site_fract_x
_atom_site_fract_y
_atom_site_fract_z
_atom_site_occupancy
Y1 Y 0.000 0.000 0.000 1
Mg1 Mg 0.500 0.500 0.000 1
Zn1 Zn 0.500 0.500 0.500 1
B1 B 0.000 0.500 0.500 1
# Energy relative to the elements = 0.900 eV per atom
# Total magnetic moment = 0.00 μB per atom



17.
# Mg2ZnB, relaxed, DFT GGA-PBE
data_Mg2ZnB
_chemical_formula_sum 'Mg8 Zn4 B4'
_symmetry_space_group_name_H-M 'I -4 2 d'
_symmetry_Int_Tables_number 122
_symmetry_space_group_name_Hall 'I -4 2bw'
_cell_length_a 4.108
_cell_length_b 4.108
_cell_length_c 16.779
_cell_angle_alpha 90.00
_cell_angle_beta 90.00
_cell_angle_gamma 90.00
loop_
_atom_site_label
_atom_site_type_symbol
_atom_site_fract_x
_atom_site_fract_y
_atom_site_fract_z
_atom_site_occupancy
Mg1 Mg 0.223 0.250 0.125 1
Zn1 Zn 0.000 0.000 0.500 1
B1 B 0.000 0.000 0.000 1
# ΔE to the lowest computed polymorph = 0.327 eV per atom
# Energy relative to the elements = 0.774 eV per atom
# Total magnetic moment = 0.00 μB per atom



18.
# Mg2ZnB2, relaxed, DFT GGA-PBE
data_Mg2ZnB2
_chemical_formula_sum 'Mg4 Zn2 B4'
_symmetry_space_group_name_H-M 'P 4/m b m'
_symmetry_Int_Tables_number 127
_symmetry_space_group_name_Hall '-P 4 2ab'
_cell_length_a 5.924
_cell_length_b 5.924
_cell_length_c 3.615
_cell_angle_alpha 90.00
_cell_angle_beta 90.00
_cell_angle_gamma 90.00
loop_
_atom_site_label
_atom_site_type_symbol
_atom_site_fract_x
_atom_site_fract_y
_atom_site_fract_z
_atom_site_occupancy
Mg1 Mg 0.182 0.318 0.000 1
Zn1 Zn 0.000 0.000 0.500 1
B1 B 0.098 0.598 0.500 1
# Energy relative to the elements = 0.216 eV per atom
# Total magnetic moment = 0.00 μB per atom



19.
# MgZnB3, relaxed, DFT GGA-PBE
data_MgZnB3
_chemical_formula_sum 'Mg1 Zn1 B3'
_symmetry_space_group_name_H-M 'P m -3 m'
_symmetry_Int_Tables_number 221
_symmetry_space_group_name_Hall '-P 4 2 3'
_cell_length_a 4.075
_cell_length_b 4.075
_cell_length_c 4.075
_cell_angle_alpha 90.00
_cell_angle_beta 90.00
_cell_angle_gamma 90.00
loop_
_atom_site_label
_atom_site_type_symbol
_atom_site_fract_x
_atom_site_fract_y
_atom_site_fract_z
_atom_site_occupancy
Mg1 Mg 0.000 0.000 0.000 1
Zn1 Zn 0.500 0.500 0.500 1
B1 B 0.000 0.500 0.500 1
# ΔE to the lowest computed polymorph = 0.000 eV per atom
# Energy relative to the elements = 1.650 eV per atom
# Total magnetic moment = 0.00 μB per atom



20.
# Mg6ZnB, relaxed, DFT GGA-PBE
data_Mg6ZnB
_chemical_formula_sum 'Mg12 Zn2 B2'
_symmetry_space_group_name_H-M 'A m m 2'
_symmetry_Int_Tables_number 38
_cell_length_a 3.645
_cell_length_b 8.499
_cell_length_c 9.961
_cell_angle_alpha 90.00
_cell_angle_beta 90.00
_cell_angle_gamma 90.00
loop_
_symmetry_equiv_pos_as_xyz
'x,y,z'
'-x,-y,z'
'-x,y,z'
'x,-y,z'
'x,y+1/2,z+1/2'
'-x,-y+1/2,z+1/2'
'-x,y+1/2,z+1/2'
'x,-y+1/2,z+1/2'
loop_
_atom_site_label
_atom_site_type_symbol
_atom_site_fract_x
_atom_site_fract_y
_atom_site_fract_z
_atom_site_occupancy
Mg1 Mg 0.000 0.000 0.000 1
Mg2 Mg 0.000 0.170 0.729 1
Mg3 Mg 0.500 0.000 0.241 1
Mg4 Mg 0.500 0.238 0.473 1
Zn1 Zn 0.000 0.000 0.459 1
B1 B 0.500 0.000 0.843 1
# ΔE to the lowest computed polymorph = 0.000 eV per atom
# Energy relative to the elements = 0.177 eV per atom
# Total magnetic moment = 0.00 μB per atom



no.,V (Å³/f.u.),total energy (eV/atom)
1,62.9,-4.912
2,151.8,-3.196
3,86.8,-3.806
4,65.4,-8.017
5,62.3,-7.437
6,53.4,-7.151
7,57.6,-8.241
8,108.1,-5.409
9,73.8,-4.384
10,81.8,-8.296
11,359.4,-2.100
12,130.6,-6.564
13,355.7,-2.044
14,217.5,-1.601
15,104.7,-3.322
16,80.8,-3.638
17,70.8,-2.012
18,63.4,-3.348
19,67.7,-2.930
20,154.3,-2.013